A relaxed structure of Zr3AlCd2. Source: the Alexandria database, functional PBE-GGA.

Structure (POSCAR):
```
Zr3AlCd2
1.0
3.100 0.000 0.000
0.000 3.100 0.000
0.000 0.000 13.017
Zr Al Cd
3 1 2
Direct
0.000 0.000 0.000
0.000 0.000 0.347
0.000 0.000 0.653
0.500 0.500 0.500
0.500 0.500 0.171
0.500 0.500 0.829
```

Computed properties:
Crystal system = tetragonal
Energy relative to the elements = -238 meV per atom
Theoretical density = 6.97 g/cm3
DFT total energy = -5.44 eV per atom